Entry 1:
An optimized crystal structure of KBaZn. Source: Alexandria via LeMat-Bulk, functional PBE.

Cell lengths 4.6740, 4.6740, 8.3438 Å; angles 90.00, 90.00, 120.00 degrees
Fractional coordinates of all 3 atoms:
K 0.0000 0.0000 0.0000
Ba 0.3333 0.6667 0.5064
Zn 0.6667 0.3333 0.2743

## Properties
Energy above the most stable polymorph in this dataset in eV/atom: 0.181
Space-group type: P3m1 (156)


Entry 2:
An optimized crystal structure of VCuPt. Source: Alexandria via LeMat-Bulk, functional PBE.

Cell lengths 4.6043, 4.6043, 4.6043 Å; angles 145.70, 131.45, 60.79 degrees
Fractional coordinates of all 3 atoms:
V 0.0000 0.0000 0.0000
Cu 0.3349 0.3349 0.0000
Pt 0.6662 0.6662 0.0000

## Properties
Energy above the most stable polymorph in this dataset in eV/atom: 0.000
Space-group type: Imm2 (44)


Entry 3:
An optimized crystal structure of Al2H12Se3O15. Source: Alexandria via LeMat-Bulk, functional PBE.

Cell lengths 8.8485, 8.8485, 10.9709 Å; angles 90.00, 90.00, 120.00 degrees
Fractional coordinates of all 64 atoms:
Al 0.3333 0.6667 0.0326
Al 0.3333 0.6667 0.4674
Al 0.6667 0.3333 0.5326
Al 0.6667 0.3333 0.9674
H 0.0580 0.4773 0.5939
H 0.0580 0.4773 0.9061
H 0.2030 0.4242 0.6362
H 0.2030 0.4242 0.8638
H 0.2213 0.7970 0.6362
H 0.2213 0.7970 0.8638
H 0.4193 0.9420 0.5939
H 0.4193 0.9420 0.9061
H 0.4242 0.2030 0.1362
H 0.4242 0.2030 0.3638
H 0.4773 0.0580 0.0939
H 0.4773 0.0580 0.4061
H 0.5227 0.5807 0.5939
H 0.5227 0.5807 0.9061
H 0.5758 0.7787 0.6362
H 0.5758 0.7787 0.8638
H 0.5807 0.5227 0.0939
H 0.5807 0.5227 0.4061
H 0.7787 0.5758 0.1362
H 0.7787 0.5758 0.3638
H 0.7970 0.2213 0.1362
H 0.7970 0.2213 0.3638
H 0.9420 0.4193 0.0939
H 0.9420 0.4193 0.4061
Se 0.1200 0.7339 0.2500
Se 0.2661 0.3861 0.2500
Se 0.3861 0.2661 0.7500
Se 0.6139 0.8800 0.2500
Se 0.7339 0.1200 0.7500
Se 0.8800 0.6139 0.7500
O 0.0964 0.7619 0.7500
O 0.1303 0.6114 0.1276
O 0.1303 0.6114 0.3724
O 0.1680 0.4797 0.5693
O 0.1680 0.4797 0.9307
O 0.2381 0.3345 0.7500
O 0.3117 0.8320 0.5693
O 0.3117 0.8320 0.9307
O 0.3345 0.2381 0.2500
O 0.3886 0.5189 0.1276
O 0.3886 0.5189 0.3724
O 0.4797 0.1680 0.0693
O 0.4797 0.1680 0.4307
O 0.4811 0.8697 0.1276
O 0.4811 0.8697 0.3724
O 0.5189 0.3886 0.6276
O 0.5189 0.3886 0.8724
O 0.5203 0.6883 0.5693
O 0.5203 0.6883 0.9307
O 0.6114 0.1303 0.6276
O 0.6114 0.1303 0.8724
O 0.6655 0.9036 0.7500
O 0.6883 0.5203 0.0693
O 0.6883 0.5203 0.4307
O 0.7619 0.0964 0.2500
O 0.8320 0.3117 0.0693
O 0.8320 0.3117 0.4307
O 0.8697 0.4811 0.6276
O 0.8697 0.4811 0.8724
O 0.9036 0.6655 0.2500

## Properties
Energy above the most stable polymorph in this dataset in eV/atom: 0.000
Space-group type: P-62c (190)


Entry 4:
An optimized crystal structure of ZrTlRe. Source: Alexandria via LeMat-Bulk, functional PBE.

Cell lengths 4.8200, 4.8200, 2.9273 Å; angles 90.00, 90.00, 120.00 degrees
Fractional coordinates of all 3 atoms:
Zr 0.0000 0.0000 0.0000
Tl 0.6667 0.3333 0.5486
Re 0.3333 0.6667 0.3054

## Properties
Energy above the most stable polymorph in this dataset in eV/atom: 0.147
Space-group type: P3m1 (156)


Entry 5:
An optimized crystal structure of PS3Cl. Source: Alexandria via LeMat-Bulk, functional PBE.

Cell lengths 6.4845, 6.8841, 7.7724 Å; angles 83.07, 89.95, 89.29 degrees
Fractional coordinates of all 10 atoms:
P 0.0000 0.0000 0.0000
P 0.4969 0.2354 0.5789
S 0.3220 0.0509 0.9799
S 0.3616 0.3052 0.8139
S 0.4634 0.4571 0.4053
S 0.8205 0.1861 0.5994
S 0.8675 0.9314 0.7645
S 0.9732 0.7773 0.1726
Cl 0.3800 0.9717 0.5370
Cl 0.8745 0.2626 0.0433

## Properties
ΔE_f (raw) in meV per atom: -254
Energy above the most stable polymorph in this dataset in eV/atom: 0.000
Space-group type: P1 (1)


Entry 6:
An optimized crystal structure of TcHg. Source: Alexandria via LeMat-Bulk, functional PBE.

Cell lengths 2.9069, 2.9069, 15.5487 Å; angles 90.00, 90.00, 120.00 degrees
Fractional coordinates of all 6 atoms:
Tc 0.0000 0.0000 0.0000
Tc 0.6667 0.3333 0.1310
Tc 0.6667 0.3333 0.8690
Hg 0.0000 0.0000 0.2907
Hg 0.0000 0.0000 0.7093
Hg 0.6667 0.3333 0.5000

## Properties
Energy above the most stable polymorph in this dataset in eV/atom: 0.067
Space-group type: P-6m2 (187)


Entry 7:
An optimized crystal structure of Rb3BiC. Source: Alexandria via LeMat-Bulk, functional PBE.

Cell lengths 6.0622, 6.0622, 6.0622 Å; angles 90.00, 90.00, 90.00 degrees
Fractional coordinates of all 5 atoms:
Rb 0.0000 0.0000 0.5000
Rb 0.0000 0.5000 0.0000
Rb 0.5000 0.0000 0.0000
Bi 0.5000 0.5000 0.5000
C 0.0000 0.0000 0.0000

## Properties
Energy above the most stable polymorph in this dataset in eV/atom: 0.000
Space-group type: Pm-3m (221)


Entry 8:
An optimized crystal structure of CrMo3. Source: Alexandria via LeMat-Bulk, functional PBE.

Cell lengths 5.2480, 8.8384, 5.2283 Å; angles 90.00, 90.00, 90.00 degrees
Fractional coordinates of all 16 atoms:
Cr 0.0037 0.2500 0.2258
Cr 0.4963 0.7500 0.7258
Cr 0.5037 0.2500 0.2742
Cr 0.9963 0.7500 0.7742
Mo 0.0114 0.2500 0.7215
Mo 0.2462 0.0076 0.0903
Mo 0.2462 0.4924 0.0903
Mo 0.2538 0.5076 0.5903
Mo 0.2538 0.9924 0.5903
Mo 0.4886 0.7500 0.2215
Mo 0.5114 0.2500 0.7785
Mo 0.7462 0.0076 0.4097
Mo 0.7462 0.4924 0.4097
Mo 0.7538 0.5076 0.9097
Mo 0.7538 0.9924 0.9097
Mo 0.9886 0.7500 0.2785

## Properties
Space-group type: Pnma (62)
Total energy in eV per atom: -10.28


Entry 9:
An optimized crystal structure of Pm4Sm4Ho. Source: Alexandria via LeMat-Bulk, functional PBE.

Cell lengths 8.1097, 8.1097, 8.1097 Å; angles 95.74, 95.74, 143.14 degrees
Fractional coordinates of all 9 atoms:
Pm 0.0000 0.3323 0.3323
Pm 0.0000 0.6677 0.6677
Pm 0.3323 0.0000 0.3323
Pm 0.6677 0.0000 0.6677
Sm 0.3341 0.3341 0.6681
Sm 0.3341 0.6659 0.0000
Sm 0.6659 0.3341 0.0000
Sm 0.6659 0.6659 0.3319
Ho 0.0000 0.0000 0.0000

## Properties
Space-group type: I4/mmm (139)
Total energy in eV per atom: -4.70


Entry 10:
An optimized crystal structure of Ta2VZnPb. Source: Alexandria via LeMat-Bulk, functional PBE.

Cell lengths 4.7495, 4.7495, 4.8099 Å; angles 90.00, 90.00, 90.00 degrees
Fractional coordinates of all 5 atoms:
Ta 0.0000 0.5000 0.0000
Ta 0.5000 0.0000 0.0000
V 0.0000 0.0000 0.5000
Zn 0.5000 0.5000 0.0000
Pb 0.5000 0.5000 0.5000

## Properties
Space-group type: P4/mmm (123)
Total energy in eV per atom: -5.92


Entry 11:
An optimized crystal structure of NpRe2. Source: Alexandria via LeMat-Bulk, functional PBE.

Cell lengths 5.3830, 5.3830, 5.3830 Å; angles 60.00, 60.00, 60.00 degrees
Fractional coordinates of all 6 atoms:
Np 0.1250 0.1250 0.1250
Np 0.8750 0.8750 0.8750
Re 0.0000 0.5000 0.5000
Re 0.5000 0.0000 0.5000
Re 0.5000 0.5000 0.0000
Re 0.5000 0.5000 0.5000

## Properties
Space-group type: Fd-3m (227)
Total energy in eV per atom: -12.41


Entry 12:
An optimized crystal structure of Rb2YThS4. Source: Alexandria via LeMat-Bulk, functional PBE.

Cell lengths 7.1169, 4.1163, 8.0973 Å; angles 90.00, 106.96, 90.00 degrees
Fractional coordinates of all 8 atoms:
Rb 0.0000 0.0000 0.0000
Rb 0.5000 0.5000 0.0000
Y 0.0000 0.5000 0.5000
Th 0.5000 0.0000 0.5000
S 0.2298 0.0000 0.6953
S 0.2628 0.5000 0.3003
S 0.7372 0.5000 0.6997
S 0.7702 0.0000 0.3047

## Properties
ΔE_f (raw) in meV per atom: -1747
Space-group type: P2/m (10)


Entry 13:
An optimized crystal structure of HfSnCl2. Source: Alexandria via LeMat-Bulk, functional PBE.

Cell lengths 12.1187, 12.1187, 12.1187 Å; angles 15.35, 15.35, 15.35 degrees
Fractional coordinates of all 4 atoms:
Hf 0.0000 0.0000 0.0000
Sn 0.5000 0.5000 0.5000
Cl 0.3841 0.3841 0.3841
Cl 0.6159 0.6159 0.6159

## Properties
ΔE_f (raw) in meV per atom: -910
Energy above the most stable polymorph in this dataset in eV/atom: 0.000
Space-group type: R-3m (166)


Entry 14:
An optimized crystal structure of HfAlC. Source: Alexandria via LeMat-Bulk, functional PBE.

Cell lengths 3.3436, 3.3436, 7.4233 Å; angles 90.00, 90.00, 90.00 degrees
Fractional coordinates of all 6 atoms:
Hf 0.2500 0.2500 0.1488
Hf 0.7500 0.7500 0.8512
Al 0.2500 0.2500 0.5834
Al 0.7500 0.7500 0.4166
C 0.2500 0.2500 0.8498
C 0.7500 0.7500 0.1502

## Properties
Energy above the most stable polymorph in this dataset in eV/atom: 0.000
Space-group type: P4/nmm (129)


Entry 15:
An optimized crystal structure of Nb2VOs. Source: Alexandria via LeMat-Bulk, functional PBE.

Cell lengths 5.4909, 5.4909, 4.5034 Å; angles 90.00, 90.00, 109.27 degrees
Fractional coordinates of all 8 atoms:
Nb 0.1222 0.3725 0.2500
Nb 0.3725 0.1222 0.7500
Nb 0.6275 0.8778 0.2500
Nb 0.8778 0.6275 0.7500
V 0.1231 0.8769 0.2500
V 0.8769 0.1231 0.7500
Os 0.3731 0.6269 0.7500
Os 0.6269 0.3731 0.2500

## Properties
Space-group type: Cmcm (63)
Total energy in eV per atom: -10.37


Entry 16:
An optimized crystal structure of LaCdGa2Pt2. Source: Alexandria via LeMat-Bulk, functional PBE.

Cell lengths 4.4626, 4.4626, 7.0290 Å; angles 90.00, 90.00, 120.00 degrees
Fractional coordinates of all 6 atoms:
La 0.0000 0.0000 0.0000
Cd 0.0000 0.0000 0.5000
Ga 0.3333 0.6667 0.2976
Ga 0.6667 0.3333 0.7024
Pt 0.3333 0.6667 0.7098
Pt 0.6667 0.3333 0.2902

## Properties
Space-group type: P-3m1 (164)
Total energy in eV per atom: -4.78


Entry 17:
An optimized crystal structure of RbCaIn2Ni. Source: Alexandria via LeMat-Bulk, functional PBE.

Cell lengths 5.1667, 5.1667, 5.4407 Å; angles 90.00, 90.00, 90.00 degrees
Fractional coordinates of all 5 atoms:
Rb 0.0000 0.0000 0.0000
Ca 0.5000 0.5000 0.0000
In 0.0000 0.5000 0.5000
In 0.5000 0.0000 0.5000
Ni 0.5000 0.5000 0.5000

## Properties
Space-group type: P4/mmm (123)
Total energy in eV per atom: -2.94


Entry 18:
An optimized crystal structure of SrTaO3. Source: Alexandria via LeMat-Bulk, functional PBE.

Cell lengths 7.1216, 7.1216, 7.0002 Å; angles 108.15, 108.15, 27.48 degrees
Fractional coordinates of all 10 atoms:
Sr 0.1146 0.1146 0.3198
Sr 0.8854 0.8854 0.6802
Ta 0.3504 0.3504 0.1756
Ta 0.6496 0.6496 0.8244
O 0.0693 0.0693 0.7136
O 0.1954 0.1954 0.0423
O 0.3188 0.3188 0.4197
O 0.6812 0.6812 0.5803
O 0.8046 0.8046 0.9577
O 0.9307 0.9307 0.2864

## Properties
ΔE_f (raw) in meV per atom: -2552
Space-group type: C2/m (12)


Entry 19:
An optimized crystal structure of Si2IrW. Source: Alexandria via LeMat-Bulk, functional PBE.

Cell lengths 2.7613, 2.7613, 7.8046 Å; angles 90.00, 90.00, 90.00 degrees
Fractional coordinates of all 4 atoms:
Si 0.0000 0.0000 0.0000
Si 0.5000 0.5000 0.2876
Ir 0.5000 0.5000 0.7840
W 0.0000 0.0000 0.5340

## Properties
ΔE_f (raw) in meV per atom: -2
Energy above the most stable polymorph in this dataset in eV/atom: 0.301
Space-group type: P4mm (99)


Entry 20:
An optimized crystal structure of CoSbPb. Source: Alexandria via LeMat-Bulk, functional PBE.

Cell lengths 6.9036, 6.9036, 6.9036 Å; angles 153.14, 153.14, 38.35 degrees
Fractional coordinates of all 3 atoms:
Co 0.0000 0.0000 0.0000
Sb 0.3928 0.3928 0.0000
Pb 0.6497 0.6497 0.0000

## Properties
ΔE_f (raw) in meV per atom: 156
Space-group type: I4mm (107)